DFT (PBE) results for crystalline La4CoIrCl2 at its relaxed geometry.

Values from the calculation:
- Energy relative to the elements, uncorrected: -1133 meV per atom
- Calculated density: 6.5 g cm⁻³
- Total magnetization: 0.0 μB per formula unit

Unit cell a=7.1354 b=4.1042 c=7.9999 alpha=90.00 beta=107.23 gamma=90.00
With the nearest neighbours (Å) after each atom.
Space group P2/m (No. 10)
Unique sites:
1 La 0.2261 0.0000 0.2003  2 Co 2.80, 1 Ir 2.87
2 La 0.2606 0.5000 0.7955  1 Co 2.82, 2 Ir 2.85
3 Co 0.0000 0.5000 0.0000  6 La 2.80-2.82
4 Ir 0.5000 0.0000 0.0000  6 La 2.85-2.87
5 Cl 0.0000 0.0000 0.5000  6 La 3.26
6 Cl 0.5000 0.5000 0.5000  6 La 3.30-3.32